No. 1
First-principles (GGA-PBE) data for a geometry-optimized K3NaTl2 structure, as listed in Alexandria.

Lattice parameters (Å, degrees): 14.854 7.254 10.850 90.00 111.64 90.00
Space group C2/c (No. 15)
Asymmetric unit:
K (0.000, 0.192, 0.250)
K (0.210, 0.006, 0.105)
Na (0.000, 0.319, 0.750)
Tl (0.110, 0.496, 0.554)

## Properties
Its formation energy is -0.0391 eV/atom. Its magnetization is 0.0 μB per formula unit.

***

No. 2
First-principles (GGA-PBE) data for a geometry-optimized K8Na3Tl2 structure, as listed in Alexandria.

Lattice parameters (Å, degrees): 9.293 6.423 11.775 90.00 106.49 90.00
Space group P2/m (No. 10)
Asymmetric unit:
K (0.058, 0.000, 0.337)
K (0.151, 0.500, 0.901)
K (0.338, 0.500, 0.261)
K (0.417, 0.000, 0.822)
Na (0.214, 0.500, 0.564)
Na (0.500, 0.000, 0.500)
Tl (0.166, 0.000, 0.058)

## Properties
Its formation energy is -0.0102 eV/atom. Its magnetization is 0.0 μB per formula unit.

***

No. 3
First-principles (GGA-PBE) data for a geometry-optimized KNa2Tl5 structure, as listed in Alexandria.

Lattice parameters (Å, degrees): 10.692 8.441 7.641 90.00 134.15 90.00
Space group Cm (No. 8)
Asymmetric unit:
K (0.000, 0.000, 0.000)
Na (0.248, 0.250, 0.996)
Tl (0.000, 0.500, 0.999)
Tl (0.250, 0.250, 0.500)
Tl (0.498, 0.500, 0.497)
Tl (0.499, 0.000, 0.497)

## Properties
Its formation energy is -0.0542 eV/atom. Its magnetization is 0.0 μB per formula unit.